Version one
The following is a DFT calculation (PBE) of a geometry-optimized MgPd5Au2 structure.

Symmetry: No. 139
Fermi-level density of states: 8.92 states/eV/f.u.

```
MgPd5Au2
1.0
5.707 0.000 0.000
0.000 5.707 0.000
0.000 0.000 7.919
Mg Pd Au
2 10 4
Direct
0.000 0.000 0.000
0.500 0.500 0.500
0.000 0.000 0.500
0.250 0.250 0.250
0.250 0.250 0.750
0.250 0.750 0.250
0.250 0.750 0.750
0.500 0.500 0.000
0.750 0.250 0.250
0.750 0.250 0.750
0.750 0.750 0.250
0.750 0.750 0.750
0.000 0.500 0.000
0.000 0.500 0.500
0.500 0.000 0.000
0.500 0.000 0.500
```

Version two
The following is a DFT calculation (PBE) of a geometry-optimized MgPd5Au2 structure.

Symmetry: No. 55
Fermi-level density of states: 7.51 states/eV/f.u.

```
MgPd5Au2
1.0
5.678 0.000 0.000
0.000 11.369 0.000
0.000 0.000 3.994
Mg Pd Au
2 10 4
Direct
0.000 0.000 0.000
0.500 0.500 0.000
0.000 0.500 0.000
0.003 0.248 0.000
0.247 0.876 0.500
0.253 0.376 0.500
0.497 0.748 0.000
0.500 0.000 0.000
0.503 0.252 0.000
0.747 0.624 0.500
0.753 0.124 0.500
0.997 0.752 0.000
0.247 0.625 0.500
0.253 0.125 0.500
0.747 0.875 0.500
0.753 0.375 0.500
```

Which structure is the least stable? The one labeled version one.

Version one
The following is a DFT calculation (PBE) of a geometry-optimized MgPd2Au3 structure.

Symmetry: No. 12
Fermi-level density of states: 2.85 states/eV/f.u.

```
MgPd2Au3
1.0
9.485 -1.437 0.000
9.485 1.437 0.000
-2.734 0.000 7.670
Mg Pd Au
2 4 6
Direct
0.172 0.172 0.046
0.828 0.828 0.954
0.194 0.194 0.377
0.432 0.432 0.862
0.568 0.568 0.138
0.806 0.806 0.623
0.062 0.062 0.444
0.201 0.201 0.737
0.430 0.430 0.218
0.570 0.570 0.782
0.799 0.799 0.263
0.938 0.938 0.556
```

Version two
The following is a DFT calculation (PBE) of a geometry-optimized MgPd2Au3 structure.

Symmetry: No. 2
Fermi-level density of states: 1.72 states/eV/f.u.

```
MgPd2Au3
1.0
4.988 0.000 0.000
-1.744 6.276 0.000
-0.053 -2.783 6.489
Mg Pd Au
2 4 6
Direct
0.129 0.121 0.358
0.871 0.879 0.642
0.210 0.876 0.959
0.445 0.125 0.702
0.555 0.875 0.298
0.790 0.124 0.041
0.035 0.366 0.784
0.297 0.635 0.545
0.372 0.367 0.120
0.628 0.633 0.880
0.703 0.365 0.455
0.965 0.634 0.216
```

Which structure is the least stable? The one labeled version one.

Version one
The following is a DFT calculation (PBE) of a geometry-optimized MgPd4Au5 structure.

Symmetry: No. 12
Fermi-level density of states: 3.17 states/eV/f.u.

```
MgPd4Au5
1.0
7.047 -2.108 0.000
7.047 2.108 0.000
-3.157 0.000 6.052
Mg Pd Au
1 4 5
Direct
0.000 0.000 0.000
0.174 0.174 0.412
0.480 0.480 0.758
0.520 0.520 0.242
0.826 0.826 0.588
0.000 0.000 0.500
0.316 0.316 0.873
0.339 0.339 0.301
0.661 0.661 0.699
0.684 0.684 0.127
```

Version two
The following is a DFT calculation (PBE) of a geometry-optimized MgPd4Au5 structure.

Symmetry: No. 71
Fermi-level density of states: 3.61 states/eV/f.u.

```
MgPd4Au5
1.0
-1.915 3.966 6.135
1.915 -3.966 6.135
1.915 3.966 -6.135
Mg Pd Au
1 4 5
Direct
0.000 0.000 0.000
0.238 0.500 0.738
0.330 0.330 0.000
0.670 0.670 0.000
0.762 0.500 0.262
0.071 0.834 0.237
0.403 0.166 0.237
0.500 0.000 0.500
0.597 0.834 0.763
0.929 0.166 0.763
```

Which structure is the least stable? The one labeled version two.